1.
# Mg2AgMo

A relaxed Mg2AgMo crystal (PBE, Alexandria).

Computed properties:
Its total moment is 0.58 μB per cell. As for the calculated formation energy: 0.3063 eV/atom.

Cell lengths 5.2159, 5.2159, 5.2209 Å; angles 80.64, 80.64, 31.17 degrees
With the nearest neighbours (Å) after each atom.
Fractional positions:
Mg 0.7536 0.7536 0.7269  5 Mg 2.80-3.11, 4 Ag 2.87-3.05, 3 Mo 2.92-2.93
Mg 0.9942 0.9942 0.0133  5 Mg 2.80-3.11, 3 Ag 2.92-3.02, 4 Mo 2.96-2.97
Mo 0.5034 0.5034 0.5116  2 Mo 2.80, 7 Mg 2.92-2.97, 3 Ag 2.96-3.10
Ag 0.2487 0.2487 0.2482  2 Ag 2.80, 7 Mg 2.87-3.05, 3 Mo 2.96-3.10

***

2.
# TlTe2N2

A relaxed TlTe2N2 crystal (PBE, Alexandria).

Computed properties:
Its total moment is 3.79 μB per cell. Its formation energy (no corrections) is 1.690 eV/atom.

Cell lengths 4.4679, 4.4679, 6.5099 Å; angles 90.00, 90.00, 90.00 degrees
With the nearest neighbours (Å) after each atom.
Fractional positions:
N 0.5000 0.0000 0.0000  2 Tl 2.23
N 0.0000 0.5000 0.0000  2 Tl 2.23
Tl 0.0000 0.0000 0.0000  4 N 2.23
Te 0.5000 0.5000 0.5000  4 Te 3.16
Te 0.0000 0.0000 0.5000  4 Te 3.16, 2 Tl 3.25

***

3.
# Tb4Pm2SmTm

A relaxed Tb4Pm2SmTm crystal (PBE, Alexandria).

Computed properties:
Its total moment is 5.26 μB per cell. As for the calculated formation energy: 0.4171 eV/atom.

Cell lengths 9.5270, 9.5270, 11.8301 Å; angles 128.38, 128.38, 88.39 degrees
With the nearest neighbours (Å) after each atom.
Fractional positions:
Tb 0.7502 0.7498 0.5043  1 Sm 3.32, 3 Pm 3.32-3.46, 2 Tm 3.37, 2 Tb 3.42
Tb 0.2498 0.2502 0.0043  1 Sm 3.32, 3 Pm 3.32-3.46, 2 Tm 3.37, 2 Tb 3.42
Tb 0.2498 0.2502 0.4957  1 Sm 3.32, 3 Pm 3.32-3.46, 2 Tm 3.37, 2 Tb 3.42
Tb 0.7502 0.7498 0.9957  1 Sm 3.32, 3 Pm 3.32-3.46, 2 Tm 3.37, 2 Tb 3.42
Tb 0.2549 0.7446 0.4998  1 Tm 3.25, 3 Pm 3.39-3.42, 2 Tb 3.41-3.42, 2 Sm 3.41-3.42
Tb 0.2446 0.7549 0.9998  1 Tm 3.25, 3 Pm 3.39-3.42, 2 Tb 3.41-3.42, 2 Sm 3.41-3.42
Tb 0.7451 0.2554 0.5002  1 Tm 3.25, 3 Pm 3.39-3.42, 2 Tb 3.41-3.42, 2 Sm 3.41-3.42
Tb 0.7554 0.2451 0.0002  1 Tm 3.25, 3 Pm 3.39-3.42, 2 Tb 3.41-3.42, 2 Sm 3.41-3.42
Sm 0.0000 0.5000 0.5000  6 Tb 3.32-3.42, 2 Pm 3.42
Sm 0.0000 0.5000 0.0000  6 Tb 3.32-3.42, 2 Pm 3.42
Tm 0.0000 0.0000 0.0000  6 Tb 3.25-3.37, 2 Tm 3.42
Tm 0.5000 0.5000 0.5000  6 Tb 3.25-3.37, 2 Tm 3.42
Pm 0.5000 0.0000 0.0000  6 Tb 3.32-3.42, 2 Sm 3.42
Pm 0.5000 0.0000 0.5000  6 Tb 3.32-3.42, 2 Sm 3.42
Pm 0.5000 0.5000 0.0000  6 Tb 3.39-3.46, 2 Pm 3.42
Pm 0.0000 0.0000 0.5000  6 Tb 3.39-3.46, 2 Pm 3.42

***

4.
# LiThZrTi

A relaxed LiThZrTi crystal (PBE, Alexandria).

Computed properties:
Its total moment is 0.80 μB per cell. As for the calculated formation energy: 0.1802 eV/atom.

Cell lengths 4.9836, 4.9836, 4.9836 Å; angles 60.00, 60.00, 60.00 degrees
With the nearest neighbours (Å) after each atom.
Fractional positions:
Li 0.5000 0.5000 0.5000  4 Zr 3.05, 4 Th 3.05
Ti 0.0000 0.0000 0.0000  4 Zr 3.05, 4 Th 3.05
Th 0.2500 0.2500 0.2500  4 Li 3.05, 4 Ti 3.05
Zr 0.7500 0.7500 0.7500  4 Ti 3.05, 4 Li 3.05

***

5.
# Na4Sm3SbO8

A relaxed Na4Sm3SbO8 crystal (PBE, Alexandria).

Computed properties:
Its total moment is 0.00 μB per cell. Its formation energy (no corrections) is -2.333 eV/atom.

Cell lengths 7.0269, 6.9368, 7.0264 Å; angles 120.45, 120.00, 90.00 degrees
With the nearest neighbours (Å) after each atom.
Fractional positions:
O 0.7396 0.7177 0.9787  1 Sb 2.37, 2 Sm 2.37, 3 Na 2.57-2.58
O 0.2604 0.2823 0.0213  1 Sb 2.37, 2 Sm 2.37, 3 Na 2.57-2.58
O 0.7609 0.2823 0.5217  1 Sb 2.37, 2 Sm 2.37, 3 Na 2.58
O 0.2621 0.2864 0.5242  3 Sm 2.36, 3 Na 2.59
O 0.7609 0.2823 0.0213  1 Sb 2.37, 2 Sm 2.37, 3 Na 2.57-2.58
O 0.2391 0.7177 0.4783  1 Sb 2.37, 2 Sm 2.37, 3 Na 2.58
O 0.2391 0.7177 0.9787  1 Sb 2.37, 2 Sm 2.37, 3 Na 2.57-2.58
O 0.7379 0.7136 0.4758  3 Sm 2.36, 3 Na 2.59
Sb 0.0000 0.5000 0.0000  6 O 2.37
Sm 0.5000 0.5000 0.0000  6 O 2.36-2.37
Sm 0.5000 0.5000 0.5000  6 O 2.36-2.37
Sm 0.0000 0.5000 0.5000  6 O 2.36-2.37
Na 0.5000 0.0000 0.5000  6 O 2.57-2.59
Na 0.5000 0.0000 0.0000  6 O 2.58
Na 0.0000 0.0000 0.5000  6 O 2.57-2.59
Na 0.0000 0.0000 0.0000  6 O 2.58-2.59

***

6.
# AcLuCd4

A relaxed AcLuCd4 crystal (PBE, Alexandria).

Computed properties:
Its total moment is 0.00 μB per cell. As for the calculated formation energy: -0.2273 eV/atom.

Cell lengths 6.0531, 6.0531, 6.0531 Å; angles 60.00, 60.00, 60.00 degrees
With the nearest neighbours (Å) after each atom.
Fractional positions:
Ac 0.2500 0.2500 0.2500  12 Cd 3.55, 4 Lu 3.71
Cd 0.6257 0.1230 0.6257  6 Cd 3.01-3.04
Cd 0.6257 0.6257 0.6257  6 Cd 3.01-3.04
Cd 0.6257 0.6257 0.1230  6 Cd 3.01-3.04
Cd 0.1230 0.6257 0.6257  6 Cd 3.01-3.04
Lu 0.0000 0.0000 0.0000  12 Cd 3.55, 4 Ac 3.71

***

7.
# CoRu2Se

A relaxed CoRu2Se crystal (PBE, Alexandria).

Computed properties:
Its total moment is 0.47 μB per cell. Its formation energy (no corrections) is 0.740 eV/atom.

Cell lengths 5.2753, 5.2753, 6.6222 Å; angles 66.53, 66.53, 90.00 degrees
With the nearest neighbours (Å) after each atom.
Fractional positions:
Ru 0.1433 0.6250 0.2500  2 Co 2.26, 2 Se 2.37
Ru 0.6067 0.1250 0.2500  2 Co 2.26, 2 Se 2.37
Ru 0.8750 0.8567 0.7500  2 Co 2.26, 2 Se 2.37
Ru 0.3750 0.3933 0.7500  2 Co 2.26, 2 Se 2.37
Co 0.2500 0.7500 0.5000  4 Ru 2.26
Co 0.5000 0.5000 0.0000  4 Ru 2.26
Se 0.7500 0.2500 0.5000  4 Ru 2.37
Se 0.0000 0.0000 0.0000  4 Ru 2.37

***

8.
# La5TbHo2Er

A relaxed La5TbHo2Er crystal (PBE, Alexandria).

Computed properties:
Its total moment is 0.00 μB per cell. As for the calculated formation energy: 0.1275 eV/atom.

Cell lengths 5.5044, 11.2101, 10.6268 Å; angles 90.00, 90.00, 104.21 degrees
With the nearest neighbours (Å) after each atom.
Fractional positions:
La 0.3764 0.7528 0.0081  1 Tb 3.63, 6 La 3.77-3.92, 4 Ho 3.82
La 0.2801 0.5602 0.6986  1 Er 3.29, 2 La 3.30, 3 Tb 3.42-3.64, 3 Ho 3.66-3.68
La 0.0021 0.0042 0.0080  2 Er 3.49, 4 Ho 3.60-3.64, 6 La 3.83-3.88
La 0.2795 0.5590 0.3188  1 Er 3.29, 2 La 3.30, 3 Tb 3.42-3.63, 3 Ho 3.67
La 0.5001 0.0003 0.7579  2 Er 3.44, 4 Ho 3.69, 6 La 3.77-3.83
La 0.7199 0.4398 0.1986  1 Er 3.29, 2 La 3.30, 3 Tb 3.42-3.64, 3 Ho 3.66-3.68
La 0.6236 0.2472 0.5081  1 Tb 3.63, 6 La 3.77-3.92, 4 Ho 3.82
La 0.4999 0.9997 0.2579  2 Er 3.44, 4 Ho 3.69, 6 La 3.77-3.83
La 0.9979 0.9958 0.5080  2 Er 3.49, 4 Ho 3.60-3.64, 6 La 3.83-3.88
La 0.7205 0.4410 0.8188  1 Er 3.29, 2 La 3.30, 3 Tb 3.42-3.63, 3 Ho 3.67
Ho 0.8871 0.7742 0.7601  1 Tb 3.40, 7 La 3.60-3.69
Ho 0.1129 0.2258 0.2601  1 Tb 3.40, 7 La 3.60-3.69
Ho 0.8867 0.7733 0.2559  1 Tb 3.40, 7 La 3.61-3.69
Ho 0.1133 0.2267 0.7559  1 Tb 3.40, 7 La 3.61-3.69
Tb 0.2093 0.4186 0.0086  2 Ho 3.40, 7 La 3.42-3.64, 2 Er 3.63
Tb 0.7907 0.5814 0.5086  2 Ho 3.40, 7 La 3.42-3.64, 2 Er 3.63
Er 0.6005 0.2010 0.0081  6 La 3.29-3.49, 2 Tb 3.63
Er 0.3995 0.7990 0.5081  6 La 3.29-3.49, 2 Tb 3.63

***

Which DOS at the Fermi energy belongs to each record? In order, 3.2, 3.5, 36.9, 5.3, 0.0, 3.2, 9.9, 27.7 states/eV/cell.